# 1
! Tl2Pd3S2 PBE relaxed; values from VASP
&SYSTEM
  ibrav = 0, nat = 7, ntyp = 3
/
ATOMIC_SPECIES
Tl 204.38 Tl.upf
Pd 106.42 Pd.upf
S 32.06 S.upf
CELL_PARAMETERS angstrom
2.9680 1.7135 4.7570
-2.9680 1.7135 4.7570
0.0000 -3.4271 4.7570
ATOMIC_POSITIONS crystal
Tl 0.0000 0.0000 0.0000
Tl 0.5000 0.5000 0.5000
Pd 0.0000 0.5000 0.5000
Pd 0.5000 0.0000 0.5000
Pd 0.5000 0.5000 0.0000
S 0.2204 0.2204 0.2204
S 0.7796 0.7796 0.7796
! Energy relative to the elements, uncorrected (kJ per mole of atoms): -33.2
! Space-group type: R-3m (166)
! Calculated volume (A^3/atom): 20.734
! Fermi-level density of states (states/eV per atom): 0.331
! Magnetization (μB/cell): 0.00



# 2
! Pa2NbSi2Os5 PBE relaxed; values from VASP
&SYSTEM
  ibrav = 0, nat = 20, ntyp = 4
/
ATOMIC_SPECIES
Pa 231.04 Pa.upf
Nb 92.91 Nb.upf
Si 28.09 Si.upf
Os 190.23 Os.upf
CELL_PARAMETERS angstrom
9.7687 0.0000 0.0000
0.0000 9.7687 0.0000
0.0000 0.0000 3.5674
ATOMIC_POSITIONS crystal
Pa 0.1766 0.3234 0.0000
Pa 0.3234 0.8234 0.0000
Pa 0.6766 0.1766 0.0000
Pa 0.8234 0.6766 0.0000
Nb 0.0000 0.0000 0.0000
Nb 0.5000 0.5000 0.0000
Si 0.1209 0.6209 0.0000
Si 0.3791 0.1209 0.0000
Si 0.6209 0.8791 0.0000
Si 0.8791 0.3791 0.0000
Os 0.0000 0.5000 0.5000
Os 0.0721 0.7883 0.5000
Os 0.2117 0.0721 0.5000
Os 0.2883 0.5721 0.5000
Os 0.4279 0.2883 0.5000
Os 0.5000 0.0000 0.5000
Os 0.5721 0.7117 0.5000
Os 0.7117 0.4279 0.5000
Os 0.7883 0.9279 0.5000
Os 0.9279 0.2117 0.5000
! Energy relative to the elements, uncorrected (kJ per mole of atoms): -36.7
! Space-group type: P4/mbm (127)
! Calculated volume (A^3/atom): 17.021
! Fermi-level density of states (states/eV per atom): 0.881
! Magnetization (μB/cell): 0.00



# 3
! In4NiCl2 PBE relaxed; values from VASP
&SYSTEM
  ibrav = 0, nat = 14, ntyp = 3
/
ATOMIC_SPECIES
In 114.82 In.upf
Ni 58.69 Ni.upf
Cl 35.45 Cl.upf
CELL_PARAMETERS angstrom
4.9928 0.0000 0.0000
0.0000 4.9928 0.0000
0.0000 0.0000 16.2797
ATOMIC_POSITIONS crystal
In 0.0000 0.0000 0.1590
In 0.0000 0.0000 0.8410
In 0.0000 0.5000 0.0000
In 0.0000 0.5000 0.5000
In 0.5000 0.0000 0.0000
In 0.5000 0.0000 0.5000
In 0.5000 0.5000 0.3410
In 0.5000 0.5000 0.6590
Ni 0.0000 0.0000 0.0000
Ni 0.5000 0.5000 0.5000
Cl 0.0000 0.0000 0.3420
Cl 0.0000 0.0000 0.6580
Cl 0.5000 0.5000 0.1580
Cl 0.5000 0.5000 0.8420
! Energy relative to the elements, uncorrected (kJ per mole of atoms): -37.9
! Space-group type: I4/mmm (139)
! Calculated volume (A^3/atom): 28.987
! Fermi-level density of states (states/eV per atom): 0.088
! Magnetization (μB/cell): 0.00



# 4
! AcNdTh2As4 PBE relaxed; values from VASP
&SYSTEM
  ibrav = 0, nat = 8, ntyp = 4
/
ATOMIC_SPECIES
Ac 227.00 Ac.upf
Nd 144.24 Nd.upf
Th 232.04 Th.upf
As 74.92 As.upf
CELL_PARAMETERS angstrom
7.4922 0.0000 0.0000
0.0000 4.3264 0.0000
-2.5024 0.0000 7.0822
ATOMIC_POSITIONS crystal
Ac 0.0000 0.0000 0.0000
Nd 0.5000 0.5000 0.0000
Th 0.0000 0.5000 0.5000
Th 0.5000 0.0000 0.5000
As 0.2523 0.0000 0.7406
As 0.2603 0.5000 0.2641
As 0.7397 0.5000 0.7359
As 0.7477 0.0000 0.2594
! ΔH_f (0 K) (eV/atom): -1.4444
! Space-group type: P2/m (10)
! Calculated volume (A^3/atom): 28.695
! Fermi-level density of states (states/eV per atom): 0.536
! Magnetization (μB/cell): 0.00